Record 1
VASP calculation (GGA-PBE) on crystalline InOs2Se at its relaxed geometry.

Output
The density of states at the Fermi level is 10.5 states/eV per cell. The value obtained for the uncorrected formation energy is 0.92 eV per atom. As for the uncorrected energy: -6.247 eV per atom.

Lattice parameters (Å, degrees): 2.9370 5.1532 8.9462 90.00 90.00 90.00
Last column: nearest neighbours and their distance in Å.
Space group Cmmm (No. 65)
Asymmetric unit:
In  0.0000  0.0000  0.0000 (multiplicity 2)  4 Os 2.77, 6 In 2.94-2.97
Os  0.0000  0.5000  0.2621 (multiplicity 4)  2 Se 2.59, 2 In 2.77
Se  0.0000  0.0000  0.5000 (multiplicity 2)  4 Os 2.59

Record 2
VASP calculation (GGA-PBE) on crystalline LaTb2Pm4Nd at its relaxed geometry.

Output
The density of states at the Fermi level is 12.6 states/eV per cell. Its energy relative to the elements is 0.018 eV per atom. As for the uncorrected energy: -4.727 eV per atom.

Lattice parameters (Å, degrees): 6.2882 3.6531 12.1369 90.00 100.17 90.00
Last column: nearest neighbours and their distance in Å.
Space group P2/m (No. 10)
Asymmetric unit:
La  0.0000  0.0000  0.0000 (multiplicity 1)  4 Tb 3.64, 2 La 3.65, 6 Pm 3.66-3.67
Tb  0.5000  0.0000  0.5000 (multiplicity 1)  6 Pm 3.63-3.65, 4 Nd 3.64, 2 Tb 3.65
Tb  0.5000  0.5000  0.0000 (multiplicity 1)  4 La 3.64, 6 Pm 3.65-3.67, 2 Tb 3.65
Pm  0.2508  0.0000  0.7499 (multiplicity 2)  6 Pm 3.63-3.65, 3 Tb 3.65, 2 Nd 3.65, 1 La 3.66
Pm  0.2514  0.5000  0.2522 (multiplicity 2)  6 Pm 3.63-3.65, 3 Tb 3.63-3.67, 1 Nd 3.64, 2 La 3.67
Nd  0.0000  0.5000  0.5000 (multiplicity 1)  4 Tb 3.64, 6 Pm 3.64-3.65, 2 Nd 3.65

Record 3
VASP calculation (GGA-PBE) on crystalline TbHoV4 at its relaxed geometry.

Output
The density of states at the Fermi level is 57.2 states/eV per cell. Its energy relative to the elements is 0.365 eV per atom. As for the uncorrected energy: -7.249 eV per atom.

Lattice parameters (Å, degrees): 7.6027 7.6027 7.6027 90.00 90.00 90.00
Last column: nearest neighbours and their distance in Å.
Space group F-43m (No. 216)
Asymmetric unit:
Tb  0.0000  0.0000  0.0000 (multiplicity 4)  12 V 3.16, 4 Ho 3.29
Ho  0.2500  0.2500  0.7500 (multiplicity 4)  12 V 3.15, 4 Tb 3.29
V  0.1220  0.1220  0.3780 (multiplicity 16)  6 V 2.62-2.75

Record 4
VASP calculation (GGA-PBE) on crystalline LiInPt2 at its relaxed geometry.

Output
The density of states at the Fermi level is 2.2 states/eV per cell. Its energy relative to the elements is -0.317 eV per atom. As for the uncorrected energy: -4.500 eV per atom.

Lattice parameters (Å, degrees): 2.8724 2.8724 27.5125 90.00 90.00 120.00
Last column: nearest neighbours and their distance in Å.
Space group R-3m (No. 166, hexagonal axes)
Asymmetric unit:
Li  0.0000  0.0000  0.0000 (multiplicity 3)  6 Pt 2.69, 6 Li 2.87
In  0.0000  0.0000  0.5000 (multiplicity 3)  6 In 2.87, 6 Pt 2.97
Pt  0.0000  0.0000  0.2561 (multiplicity 6)  3 Li 2.69, 6 Pt 2.87, 3 In 2.97

Record 5
VASP calculation (GGA-PBE) on crystalline TmBiAu4 at its relaxed geometry.

Output
The density of states at the Fermi level is 3.6 states/eV per cell. Its energy relative to the elements is -0.417 eV per atom. As for the uncorrected energy: -3.994 eV per atom.

Lattice parameters (Å, degrees): 4.8326 4.8326 6.4456 90.00 90.00 120.00
Last column: nearest neighbours and their distance in Å.
Space group P6/mmm (No. 191)
Asymmetric unit:
Tm  0.0000  0.0000  0.0000 (multiplicity 1)  12 Au 3.16, 2 Bi 3.22
Bi  0.0000  0.0000  0.5000 (multiplicity 1)  2 Tm 3.22, 12 Au 3.28
Au  0.3333  0.6667  0.2312 (multiplicity 4)  4 Au 2.79-2.98

Record 6
VASP calculation (GGA-PBE) on crystalline BaHS at its relaxed geometry.

Output
The density of states at the Fermi level is 0.0 states/eV per cell. As for the uncorrected energy: -4.435 eV per atom.

Lattice parameters (Å, degrees): 8.0831 4.6301 8.0035 90.00 109.04 90.00
Last column: nearest neighbours and their distance in Å.
Space group Cm (No. 8)
Asymmetric unit:
Ba  0.0000  0.0000  0.0000 (multiplicity 2)  2 H 2.71-2.89
Ba  0.0055  0.5000  0.5069 (multiplicity 2)  5 H 2.68-2.91
H  0.0232  0.0000  0.3449 (multiplicity 2)  1 H 0.78
H  0.1252  0.0000  0.3821 (multiplicity 2)  1 H 0.78
S  0.2364  0.5000  0.2412 (multiplicity 2)  1 H 2.19
S  0.2526  0.0000  0.7571 (multiplicity 2)  1 H 2.84

Record 7
VASP calculation (GGA-PBE) on crystalline SrCuTc2Cl at its relaxed geometry.

Output
The density of states at the Fermi level is 3.5 states/eV per cell. The value obtained for the uncorrected formation energy is 0.90 eV per atom. As for the uncorrected energy: -4.770 eV per atom.

Lattice parameters (Å, degrees): 4.4319 4.4319 5.3511 90.00 90.00 90.00
Last column: nearest neighbours and their distance in Å.
Space group P4/mmm (No. 123)
Asymmetric unit:
Sr  0.0000  0.0000  0.0000 (multiplicity 1)  2 Cl 2.68
Cu  0.5000  0.5000  0.0000 (multiplicity 1)  4 Sr 3.13, 8 Tc 3.47
Tc  0.0000  0.5000  0.5000 (multiplicity 2)  2 Cl 2.22
Cl  0.0000  0.0000  0.5000 (multiplicity 1)  4 Tc 2.22

Record 8
VASP calculation (GGA-PBE) on crystalline RbPbNF2 at its relaxed geometry.

Output
The density of states at the Fermi level is 3.9 states/eV per cell. The value obtained for the uncorrected formation energy is -1.06 eV per atom. As for the uncorrected energy: -4.413 eV per atom.

Lattice parameters (Å, degrees): 4.8232 4.8232 4.4123 90.00 90.00 90.00
Last column: nearest neighbours and their distance in Å.
Space group P4/mmm (No. 123)
Asymmetric unit:
Rb  0.0000  0.0000  0.0000 (multiplicity 1)  8 F 3.27, 4 N 3.41
Pb  0.5000  0.5000  0.5000 (multiplicity 1)  2 N 2.21, 4 F 2.41
N  0.5000  0.5000  0.0000 (multiplicity 1)  2 Pb 2.21
F  0.0000  0.5000  0.5000 (multiplicity 2)  2 Pb 2.41

Record 9
VASP calculation (GGA-PBE) on crystalline Zn2IrRh at its relaxed geometry.

Output
The density of states at the Fermi level is 4.6 states/eV per cell. Its energy relative to the elements is -0.149 eV per atom. As for the uncorrected energy: -4.839 eV per atom.

Lattice parameters (Å, degrees): 2.8840 4.6706 8.5139 90.00 90.00 90.00
Last column: nearest neighbours and their distance in Å.
Space group Cmmm (No. 65)
Asymmetric unit:
Zn  0.0000  0.0000  0.2474 (multiplicity 4)  2 Rh 2.55, 2 Ir 2.59, 4 Zn 2.74
Ir  0.0000  0.5000  0.5000 (multiplicity 2)  4 Zn 2.59, 6 Ir 2.74-2.88
Rh  0.0000  0.5000  0.0000 (multiplicity 2)  4 Zn 2.55, 4 Rh 2.74

Record 10
VASP calculation (GGA-PBE) on crystalline AgSbRh2 at its relaxed geometry.

Output
The density of states at the Fermi level is 5.9 states/eV per cell. The value obtained for the uncorrected formation energy is -0.01 eV per atom. As for the uncorrected energy: -5.429 eV per atom.

Lattice parameters (Å, degrees): 9.8042 3.1045 4.6269 90.00 106.38 90.00
Last column: nearest neighbours and their distance in Å.
Space group Cm (No. 8)
Asymmetric unit:
Ag  0.0000  0.0000  0.0000 (multiplicity 2)  7 Rh 2.69-2.80
Sb  0.2633  0.5000  0.3872 (multiplicity 2)  7 Rh 2.70-2.80
Rh  0.2530  0.0000  0.8779 (multiplicity 2)  3 Ag 2.69-2.80, 4 Sb 2.78-2.80
Rh  0.4972  0.0000  0.4965 (multiplicity 2)  3 Sb 2.70-2.79, 4 Ag 2.78-2.79

Record 11
VASP calculation (GGA-PBE) on crystalline Tl2Cd16Pb at its relaxed geometry.

Output
The density of states at the Fermi level is 23.9 states/eV per cell. Its energy relative to the elements is 0.033 eV per atom. As for the uncorrected energy: -1.182 eV per atom.

Lattice parameters (Å, degrees): 10.5151 10.5151 14.9483 90.00 90.00 120.00
Last column: nearest neighbours and their distance in Å.
Space group R3m (No. 160, hexagonal axes)
Asymmetric unit:
Tl  0.0000  0.0000  0.0000 (multiplicity 3)  12 Cd 3.54-3.79, 1 Pb 3.73
Tl  0.0000  0.0000  0.3005 (multiplicity 3)  13 Cd 3.53-3.89
Cd  0.0000  0.0000  0.5372 (multiplicity 3)  6 Cd 3.07-3.31, 1 Pb 3.19
Cd  0.0012  0.3051  0.6473 (multiplicity 18)  8 Cd 2.97-3.22
Cd  0.0100  0.5050  0.1464 (multiplicity 9)  9 Cd 2.97-3.17, 1 Pb 3.26
Cd  0.0097  0.5049  0.7973 (multiplicity 9)  9 Cd 2.96-3.31
Cd  0.1751  0.3502  0.8312 (multiplicity 9)  8 Cd 2.96-3.20
Pb  0.0000  0.0000  0.7508 (multiplicity 3)  13 Cd 3.19-3.56

Record 12
VASP calculation (GGA-PBE) on crystalline CsSrBrF2 at its relaxed geometry.

Output
The density of states at the Fermi level is 0.0 states/eV per cell. The value obtained for the uncorrected formation energy is -2.90 eV per atom. As for the uncorrected energy: -4.493 eV per atom.

Lattice parameters (Å, degrees): 4.8927 4.8927 6.2042 90.00 90.00 90.00
Last column: nearest neighbours and their distance in Å.
Space group P4/mmm (No. 123)
Asymmetric unit:
Cs  0.0000  0.0000  0.0000 (multiplicity 1)  4 Br 3.46
Sr  0.5000  0.5000  0.5000 (multiplicity 1)  4 F 2.45
Br  0.5000  0.5000  0.0000 (multiplicity 1)  2 Sr 3.10, 4 Cs 3.46
F  0.0000  0.5000  0.5000 (multiplicity 2)  2 Sr 2.45

Record 13
VASP calculation (GGA-PBE) on crystalline Mg5NpN4 at its relaxed geometry.

Output
The density of states at the Fermi level is 7.0 states/eV per cell. The value obtained for the uncorrected formation energy is -0.72 eV per atom. As for the uncorrected energy: -6.141 eV per atom.

Lattice parameters (Å, degrees): 13.6052 3.2828 6.4195 90.00 103.49 90.00
Last column: nearest neighbours and their distance in Å.
Space group C2/m (No. 12)
Asymmetric unit:
Mg  0.0000  0.0000  0.0000 (multiplicity 2)  4 N 2.28
Mg  0.1691  0.5000  0.8226 (multiplicity 4)  3 N 2.24
Mg  0.1710  0.5000  0.3521 (multiplicity 4)  4 N 2.18-2.26
Np  0.0000  0.0000  0.5000 (multiplicity 2)  6 N 2.17-2.31
N  0.0001  0.5000  0.2463 (multiplicity 4)  4 Mg 2.24-2.28, 2 Np 2.31
N  0.1644  0.0000  0.5825 (multiplicity 4)  1 Np 2.17, 5 Mg 2.18-2.24